Record 1
{"formula": "MgSbTe2Se", "functional": "PBE", "state": "optimized geometry", "cell": [[-2.976, -3.621, -2.498], [2.004, -3.801, 3.123], [-4.057, 0.836, 3.621]], "species": ["Se", "Te", "Te", "Mg", "Sb"], "fractional_positions": [[0.500, 0.500, 0.500], [0.500, 0.000, 0.000], [0.000, 0.500, 0.000], [0.000, 0.000, 0.000], [0.000, 0.000, 0.500]], "e_form_raw_ev_per_atom": 0.51, "magmom_total_mub_per_fu": 0.000, "vol_a3_per_atom": 31.0, "rho_g_cm3": 5.14, "relative_energy_ev_per_atom": 0.114}

***

Record 2
{"formula": "K2YRh", "functional": "PBE", "state": "optimized geometry", "cell": [[4.800, 0.000, 0.000], [0.000, 4.800, 0.000], [0.000, 0.000, 5.754]], "species": ["Rh", "K", "K", "Y"], "fractional_positions": [[0.500, 0.500, 0.250], [0.000, 0.000, 0.016], [0.000, 0.000, 0.484], [0.500, 0.500, 0.750]], "delta_e_f_kj_per_mol_atoms": 69, "magmom_total_mub_per_fu": 0.000, "vol_a3_per_atom": 33.1, "rho_g_cm3": 3.38, "relative_energy_ev_per_atom": 0.771}

***

Record 3
{"formula": "LaAuSe2N", "functional": "PBE", "state": "optimized geometry", "cell": [[-2.574, -3.482, -2.980], [2.337, -2.975, 1.457], [-3.439, -0.793, 3.896]], "species": ["Au", "Se", "Se", "N", "La"], "fractional_positions": [[0.000, 0.000, 0.000], [0.000, 0.000, 0.500], [0.500, 0.000, 0.000], [0.000, 0.500, 0.000], [0.500, 0.500, 0.500]], "e_form_raw_ev_per_atom": -0.13, "magmom_total_mub_per_fu": 1.363, "vol_a3_per_atom": 22.4, "rho_g_cm3": 7.53, "relative_energy_ev_per_atom": 0.000}

***

Record 4
{"formula": "PrSmInAu", "functional": "PBE", "state": "optimized geometry", "cell": [[3.710, 0.000, 0.000], [0.000, 3.710, 0.000], [0.000, 0.000, 7.946]], "species": ["In", "Au", "Sm", "Pr"], "fractional_positions": [[0.500, 0.500, 0.115], [0.500, 0.500, 0.591], [0.000, 0.000, 0.379], [0.000, 0.000, 0.843]], "delta_e_f_kj_per_mol_atoms": -61, "magmom_total_mub_per_fu": 0.000, "vol_a3_per_atom": 27.3, "rho_g_cm3": 9.16, "relative_energy_ev_per_atom": 0.000}

***

Repeat the first record exactly.
{"formula": "MgSbTe2Se", "functional": "PBE", "state": "optimized geometry", "cell": [[-2.976, -3.621, -2.498], [2.004, -3.801, 3.123], [-4.057, 0.836, 3.621]], "species": ["Se", "Te", "Te", "Mg", "Sb"], "fractional_positions": [[0.500, 0.500, 0.500], [0.500, 0.000, 0.000], [0.000, 0.500, 0.000], [0.000, 0.000, 0.000], [0.000, 0.000, 0.500]], "e_form_raw_ev_per_atom": 0.51, "magmom_total_mub_per_fu": 0.000, "vol_a3_per_atom": 31.0, "rho_g_cm3": 5.14, "relative_energy_ev_per_atom": 0.114}